Below is a crystal of Tb5Pb4 relaxed with PBEsol, with properties calculated at the SCAN level.

Summary:
- total moment (μB per formula unit) = 0.0
- formation energy from the elements (kcal/mol of atoms) = -18.88
- calculated total energy (eV per atom) = -60.48
- volume (A^3/atom) = 28.37
- density of states at the Fermi level (states/eV/atom) = 0.521
- mass density (g/cm3) = 10.6

Cell: 8.090 15.436 8.180 Å, 90.00 90.00 90.00°
Element x y z (fractional)
Tb 0.031 0.099 0.177
Tb 0.031 0.401 0.177
Tb 0.126 0.621 0.342
Tb 0.126 0.879 0.342
Tb 0.206 0.250 0.504
Tb 0.294 0.750 0.004
Tb 0.374 0.121 0.842
Tb 0.374 0.379 0.842
Tb 0.469 0.599 0.677
Tb 0.469 0.901 0.677
Tb 0.531 0.099 0.323
Tb 0.531 0.401 0.323
Tb 0.626 0.621 0.158
Tb 0.626 0.879 0.158
Tb 0.706 0.250 0.996
Tb 0.794 0.750 0.496
Tb 0.874 0.121 0.658
Tb 0.874 0.379 0.658
Tb 0.969 0.599 0.823
Tb 0.969 0.901 0.823
Pb 0.069 0.250 0.877
Pb 0.158 0.750 0.652
Pb 0.216 0.043 0.535
Pb 0.216 0.457 0.535
Pb 0.284 0.543 0.035
Pb 0.284 0.957 0.035
Pb 0.342 0.250 0.152
Pb 0.431 0.750 0.377
Pb 0.569 0.250 0.623
Pb 0.658 0.750 0.848
Pb 0.716 0.043 0.965
Pb 0.716 0.457 0.965
Pb 0.784 0.543 0.465
Pb 0.784 0.957 0.465
Pb 0.842 0.250 0.348
Pb 0.931 0.750 0.123